Record 1
Below is crystalline Pr3Er6TmTh2 at its relaxed geometry, with properties calculated at the PBE level.

- Calculated total energy: -121.621 eV for the cell shown
- Formation enthalpy at 0 K: 0.02 eV per atom
- Spin magnetization: 0.0 μB per formula unit

Cell lengths 6.1897, 10.7140, 11.7636 Å; angles 90.00, 100.11, 90.00 degrees
Closest atoms and distances in Å follow each position.
Space group C2/m (No. 12)
Asymmetric unit:
Pr 0.0000 0.0000 0.0000 x2  6 Pr 3.57-3.58, 6 Er 3.60-3.62
Pr 0.0000 0.3338 0.0000 x4  6 Pr 3.56-3.58, 6 Er 3.60-3.62
Er 0.2441 0.0000 0.7441 x4  2 Th 3.49, 1 Tm 3.51, 6 Er 3.55-3.61, 3 Pr 3.60-3.62
Er 0.2504 0.1685 0.2563 x8  2 Th 3.49, 1 Tm 3.51, 6 Er 3.55-3.61, 3 Pr 3.60-3.62
Tm 0.0000 0.5000 0.5000 x2  6 Er 3.51, 6 Th 3.57
Th 0.0000 0.1665 0.5000 x4  6 Er 3.49, 3 Th 3.57, 3 Tm 3.57

---

Record 2
Below is crystalline CuHgBi3 at its relaxed geometry, with properties calculated at the PBE level.

- Calculated total energy: -14.066 eV for the cell shown
- Formation enthalpy at 0 K: 0.40 eV per atom
- Energy above the most stable polymorph in this dataset: 0 meV per atom
- Spin magnetization: 0.0 μB per formula unit

Cell lengths 5.3200, 5.3200, 5.3200 Å; angles 90.00, 90.00, 90.00 degrees
Closest atoms and distances in Å follow each position.
Space group Pm-3m (No. 221)
Asymmetric unit:
Cu 0.0000 0.0000 0.0000 x1  6 Bi 2.66
Hg 0.5000 0.5000 0.5000 x1  12 Bi 3.76
Bi 0.0000 0.0000 0.5000 x3  2 Cu 2.66

---

Record 3
Below is crystalline Ta2V3Mo8 at its relaxed geometry, with properties calculated at the PBE level.

- Calculated total energy: -262.494 eV for the cell shown
- Formation enthalpy at 0 K: 0.50 eV per atom
- Spin magnetization: 0.0 μB per formula unit

Cell lengths 11.7892, 7.3561, 5.1315 Å; angles 90.00, 98.67, 90.00 degrees
Closest atoms and distances in Å follow each position.
Space group C2/m (No. 12)
Asymmetric unit:
Ta 0.1978 0.0000 0.2402 x4  5 Mo 2.56-2.82, 3 V 2.77-2.86
V 0.0000 0.0000 0.5000 x2  6 Mo 2.49-2.66
V 0.0000 0.1718 0.0000 x4  1 V 2.53, 4 Mo 2.71-2.72, 2 Ta 2.77
Mo 0.0931 0.5000 0.9192 x4  1 Mo 2.46, 2 V 2.71, 1 Ta 2.71
Mo 0.1100 0.3119 0.4610 x8  2 V 2.66-2.72, 5 Mo 2.68-2.95, 2 Ta 2.82-2.89
Mo 0.1999 0.0000 0.7427 x4  1 V 2.49, 2 Ta 2.56-2.57, 1 Mo 2.77

---

Record 4
Below is crystalline Ce2NpIn at its relaxed geometry, with properties calculated at the PBE level.

- Calculated total energy: -27.417 eV for the cell shown
- Formation enthalpy at 0 K: 0.03 eV per atom
- Energy above the most stable polymorph in this dataset: 0 meV per atom
- Spin magnetization: 6.9 μB per formula unit

Cell lengths 4.8796, 4.8796, 4.4847 Å; angles 90.00, 90.00, 90.00 degrees
Closest atoms and distances in Å follow each position.
Space group P4/mmm (No. 123)
Asymmetric unit:
Ce 0.0000 0.5000 0.0000 x2  4 In 3.31, 4 Np 3.31, 4 Ce 3.45
Np 0.0000 0.0000 0.5000 x1  8 Ce 3.31, 4 In 3.45
In 0.5000 0.5000 0.5000 x1  8 Ce 3.31, 4 Np 3.45

---

Record 5
Below is crystalline RbTl3Pb2 at its relaxed geometry, with properties calculated at the PBE level.

- Calculated total energy: -62.657 eV for the cell shown
- Formation enthalpy at 0 K: -0.03 eV per atom
- Spin magnetization: 0.0 μB per formula unit

Cell lengths 12.0730, 11.0848, 6.7959 Å; angles 90.00, 90.00, 90.00 degrees
Closest atoms and distances in Å follow each position.
Space group Cmcm (No. 63)
Asymmetric unit:
Rb 0.0000 0.1955 0.2500 x4  7 Tl 3.89-4.05, 4 Pb 4.25
Tl 0.0000 0.4533 0.7500 x4  4 Tl 3.21-3.55, 4 Pb 3.32
Tl 0.1715 0.2316 0.7500 x8  1 Tl 3.21, 4 Pb 3.29-3.50
Pb 0.2323 0.5000 0.0000 x8  6 Tl 3.29-3.50, 2 Pb 3.40

---

Record 6
Below is crystalline Rb2ThGeSe4 at its relaxed geometry, with properties calculated at the PBE level.

- Calculated total energy: -37.622 eV for the cell shown
- Formation energy without anion corrections: -1.2139 eV per atom
- Spin magnetization: 0.0 μB per formula unit

Cell lengths 7.4416, 4.3580, 8.3034 Å; angles 90.00, 107.34, 90.00 degrees
Closest atoms and distances in Å follow each position.
Space group P2/m (No. 10)
Asymmetric unit:
Rb 0.0000 0.0000 0.0000 x1  6 Se 3.46-3.50
Rb 0.5000 0.5000 0.0000 x1  6 Se 3.47-3.50
Th 0.0000 0.5000 0.5000 x1  6 Se 2.89-2.95
Ge 0.5000 0.0000 0.5000 x1  6 Se 2.92-2.94
Se 0.2332 0.0000 0.6962 x2  1 Ge 2.92, 2 Th 2.95
Se 0.2667 0.5000 0.3085 x2  1 Th 2.89, 2 Ge 2.94

---

Record 7
Below is crystalline MnW2Se at its relaxed geometry, with properties calculated at the PBE level.

- Calculated total energy: -109.840 eV for the cell shown
- Formation energy without anion corrections: 0.4868 eV per atom
- Spin magnetization: 1.8 μB per formula unit

Cell lengths 2.9424, 2.9424, 24.6572 Å; angles 90.00, 90.00, 120.00 degrees
Closest atoms and distances in Å follow each position.
Space group R-3m (No. 166, hexagonal axes)
Asymmetric unit:
Mn 0.0000 0.0000 0.0000 x3  6 W 2.63
W 0.0000 0.0000 0.2521 x6  3 Mn 2.63, 3 Se 2.71
Se 0.0000 0.0000 0.5000 x3  6 W 2.71, 6 Se 2.94

---

Record 8
Below is crystalline KBa2Fe at its relaxed geometry, with properties calculated at the PBE level.

- Calculated total energy: -11.112 eV for the cell shown
- Formation enthalpy at 0 K: 0.57 eV per atom
- Energy above the most stable polymorph in this dataset: 130 meV per atom
- Spin magnetization: 2.5 μB per formula unit

Cell lengths 4.7576, 4.4018, 10.1028 Å; angles 90.00, 103.59, 90.00 degrees
Closest atoms and distances in Å follow each position.
Space group Pm (No. 6)
Asymmetric unit:
K 0.0000 0.0000 0.0000 x1  2 Fe 3.83, 2 Ba 4.20-4.21
Ba 0.3227 0.5000 0.6450 x1  1 Fe 3.20
Ba 0.6775 0.0000 0.3527 x1  4 Fe 3.26
Fe 0.1611 0.5000 0.3191 x1  5 Ba 3.20-3.26

---

Record 9
Below is crystalline CeZn2Pt8 at its relaxed geometry, with properties calculated at the PBE level.

- Calculated total energy: -58.814 eV for the cell shown
- Formation enthalpy at 0 K: -0.18 eV per atom
- Spin magnetization: 0.0 μB per formula unit

Cell lengths 5.3284, 5.3284, 7.9832 Å; angles 90.00, 90.00, 90.00 degrees
Closest atoms and distances in Å follow each position.
Space group P4/mmm (No. 123)
Asymmetric unit:
Ce 0.0000 0.0000 0.0000 x1  8 Pt 2.86
Zn 0.0000 0.5000 0.5000 x2  8 Pt 2.65
Pt 0.2541 0.2541 0.2659 x8  4 Pt 2.62-2.71, 2 Zn 2.65, 1 Ce 2.86

---

Record 10
Below is crystalline KCd2Te at its relaxed geometry, with properties calculated at the PBE level.

- Calculated total energy: -7.111 eV for the cell shown
- Formation energy without anion corrections: -0.2605 eV per atom
- Spin magnetization: 0.0 μB per formula unit

Cell lengths 4.0366, 4.0366, 7.7534 Å; angles 90.00, 90.00, 90.00 degrees
Closest atoms and distances in Å follow each position.
Space group P4mm (No. 99)
Asymmetric unit:
K 0.0000 0.0000 0.0000 x1  4 Te 3.62, 6 Cd 3.72-4.03, 4 K 4.04
Cd 0.0000 0.0000 0.4801 x1  4 Te 3.22, 4 Cd 3.27
Cd 0.5000 0.5000 0.6849 x1  1 Te 3.09, 4 Cd 3.27
Te 0.5000 0.5000 0.2869 x1  5 Cd 3.09-3.22

---

Record 11
Below is crystalline TiNbO3 at its relaxed geometry, with properties calculated at the PBE level.

- Calculated total energy: -179.537 eV for the cell shown
- Formation energy without anion corrections: -2.4090 eV per atom
- Spin magnetization: 0.0 μB per formula unit

Cell lengths 11.2868, 3.2094, 7.9916 Å; angles 90.00, 113.86, 90.00 degrees
Closest atoms and distances in Å follow each position.
Space group C2/m (No. 12)
Asymmetric unit:
Ti 0.1344 0.0000 0.3328 x4  4 O 1.87-1.91
Nb 0.1390 0.5000 0.9532 x4  5 O 2.12-2.24
O 0.0481 0.0000 0.7748 x4  1 Ti 1.88
O 0.1547 0.5000 0.4612 x4  2 Ti 1.87
O 0.2044 0.0000 0.1521 x4  1 Ti 1.91

---

Record 12
Below is crystalline NaAcO2 at its relaxed geometry, with properties calculated at the PBE level.

- Calculated total energy: -99.608 eV for the cell shown
- Formation energy without anion corrections: -2.3895 eV per atom
- Energy above the most stable polymorph in this dataset: 205 meV per atom
- Spin magnetization: 0.0 μB per formula unit

Cell lengths 6.1454, 6.1454, 6.1454 Å; angles 90.00, 90.00, 90.00 degrees
Closest atoms and distances in Å follow each position.
Space group Fm-3m (No. 225)
Asymmetric unit:
Na 0.0000 0.0000 0.0000 x4  8 O 2.66
Ac 0.0000 0.0000 0.5000 x4  8 O 2.66
O 0.2500 0.2500 0.2500 x8  4 Ac 2.66, 4 Na 2.66

---

Record 13
Below is crystalline Sm6S2N3Cl at its relaxed geometry, with properties calculated at the PBE level.

- Calculated total energy: -167.871 eV for the cell shown
- Formation energy without anion corrections: -1.7119 eV per atom
- Spin magnetization: 0.0 μB per formula unit

Cell lengths 16.9208, 3.7027, 7.8396 Å; angles 90.00, 107.92, 90.00 degrees
Closest atoms and distances in Å follow each position.
Space group C2/m (No. 12)
Asymmetric unit:
Sm 0.0117 0.0000 0.2165 x4  3 N 2.48-2.52
Sm 0.1595 0.5000 0.1048 x4  3 N 2.55-2.57
Sm 0.1797 0.5000 0.5602 x4  3 N 2.46-2.53
S 0.1628 0.0000 0.8257 x4  6 Sm 2.86-2.89
N 0.0000 0.5000 0.0000 x2  6 Sm 2.48-2.57
N 0.1678 0.0000 0.3333 x4  6 Sm 2.46-2.55
Cl 0.0000 0.5000 0.5000 x2  6 Sm 2.93-2.95

---

Record 14
Below is crystalline MnHgS2 at its relaxed geometry, with properties calculated at the PBE level.

- Calculated total energy: -151.278 eV for the cell shown
- Formation energy without anion corrections: -0.2959 eV per atom
- Energy above the most stable polymorph in this dataset: 115 meV per atom
- Spin magnetization: 0.9 μB per formula unit

Cell lengths 11.7989, 11.8241, 5.3786 Å; angles 90.00, 90.00, 90.00 degrees
Closest atoms and distances in Å follow each position.
Space group Fmm2 (No. 42)
Asymmetric unit:
Mn 0.0000 0.0000 0.0000 x4  4 S 2.14
Mn 0.0000 0.0000 0.5000 x4  4 S 2.14
Hg 0.2500 0.2500 0.2490 x8  2 Hg 2.69
S 0.0000 0.1405 0.2501 x8  2 Mn 2.14
S 0.1407 0.0000 0.7500 x8  2 Mn 2.14

---

Record 15
Below is crystalline PaH2W at its relaxed geometry, with properties calculated at the PBE level.

- Calculated total energy: -86.201 eV for the cell shown
- Spin magnetization: 0.0 μB per formula unit

Cell lengths 3.0099, 3.0099, 17.2945 Å; angles 90.00, 90.00, 120.00 degrees
Closest atoms and distances in Å follow each position.
Space group R-3m (No. 166, hexagonal axes)
Asymmetric unit:
Pa 0.0000 0.0000 0.0000 x3  6 H 2.58
H 0.0000 0.0000 0.2230 x6  3 W 1.99
W 0.0000 0.0000 0.5000 x3  6 H 1.99

---

Record 16
Below is crystalline CdPOs2N at its relaxed geometry, with properties calculated at the PBE level.

- Calculated total energy: -32.239 eV for the cell shown
- Formation energy without anion corrections: 0.9741 eV per atom
- Spin magnetization: 0.0 μB per formula unit

Cell lengths 4.0643, 4.0643, 4.3959 Å; angles 90.00, 90.00, 90.00 degrees
Closest atoms and distances in Å follow each position.
Space group P4/mmm (No. 123)
Asymmetric unit:
Cd 0.0000 0.0000 0.0000 x1  4 P 2.87, 8 Os 2.99
P 0.5000 0.5000 0.0000 x1  2 N 2.20
Os 0.0000 0.5000 0.5000 x2  2 N 2.03
N 0.5000 0.5000 0.5000 x1  4 Os 2.03, 2 P 2.20

---

Record 17
Below is crystalline SmY6Te8 at its relaxed geometry, with properties calculated at the PBE level.

- Calculated total energy: -358.139 eV for the cell shown
- Formation energy without anion corrections: -1.3932 eV per atom
- Spin magnetization: 0.0 μB per formula unit

Cell lengths 12.3057, 12.3057, 12.3057 Å; angles 90.00, 90.00, 90.00 degrees
Closest atoms and distances in Å follow each position.
Space group Fm-3m (No. 225)
Asymmetric unit:
Sm 0.0000 0.0000 0.0000 x4  6 Te 3.19
Y 0.0000 0.2500 0.2500 x24  6 Te 3.08
Te 0.0000 0.0000 0.2590 x24  4 Y 3.08, 1 Sm 3.19
Te 0.2500 0.2500 0.2500 x8  6 Y 3.08

---

Record 18
Below is crystalline SbTe at its relaxed geometry, with properties calculated at the PBE level.

- Calculated total energy: -43.336 eV for the cell shown
- Formation energy without anion corrections: 0.0207 eV per atom
- Energy above the most stable polymorph in this dataset: 125 meV per atom
- Spin magnetization: 0.0 μB per formula unit

Cell lengths 4.4714, 19.1098, 4.4685 Å; angles 90.00, 90.00, 90.00 degrees
Closest atoms and distances in Å follow each position.
Space group Pmmn (No. 59, origin choice 2)
Asymmetric unit:
Sb 0.2500 0.0833 0.2437 x4  6 Te 3.11-3.22
Sb 0.2500 0.7500 0.2505 x2  6 Te 3.11-3.21
Te 0.2500 0.2500 0.2666 x2  6 Sb 3.11-3.21
Te 0.2500 0.5833 0.2736 x4  6 Sb 3.11-3.22

---

Record 19
Below is crystalline BaHg2Se2 at its relaxed geometry, with properties calculated at the PBE level.

- Calculated total energy: -26.761 eV for the cell shown
- Formation energy without anion corrections: -0.7770 eV per atom
- Energy above the most stable polymorph in this dataset: 0 meV per atom
- Spin magnetization: 0.0 μB per formula unit

Cell lengths 4.4288, 4.4288, 16.2213 Å; angles 90.00, 90.00, 90.00 degrees
Closest atoms and distances in Å follow each position.
Space group I4/mmm (No. 139)
Asymmetric unit:
Ba 0.0000 0.0000 0.0000 x2  8 Se 3.37
Hg 0.0000 0.5000 0.2500 x4  4 Hg 3.13
Se 0.0000 0.0000 0.4226 x4  1 Se 2.51

---

Record 20
Below is crystalline Fe2PbCl at its relaxed geometry, with properties calculated at the PBE level.

- Calculated total energy: -40.709 eV for the cell shown
- Formation energy without anion corrections: 0.5315 eV per atom
- Energy above the most stable polymorph in this dataset: 467 meV per atom
- Spin magnetization: 5.8 μB per formula unit

Cell lengths 3.0978, 5.8319, 8.4542 Å; angles 90.00, 90.00, 90.00 degrees
Closest atoms and distances in Å follow each position.
Space group Cmmm (No. 65)
Asymmetric unit:
Fe 0.0000 0.0000 0.2265 x4  2 Cl 2.46
Pb 0.0000 0.5000 0.5000 x2  4 Fe 2.78, 2 Pb 3.10
Cl 0.0000 0.5000 0.0000 x2  4 Fe 2.46

---

Record 21
Below is crystalline SrSn2F11 at its relaxed geometry, with properties calculated at the PBE level.

- Calculated total energy: -263.550 eV for the cell shown
- Formation energy without anion corrections: -2.5440 eV per atom
- Spin magnetization: 1.2 μB per formula unit

Cell lengths 7.9800, 10.2750, 11.2870 Å; angles 90.00, 90.00, 90.00 degrees
Closest atoms and distances in Å follow each position.
Space group Ibam (No. 72)
Asymmetric unit:
Sr 0.0000 0.0000 0.2500 x4  8 F 2.48-2.55
Sn 0.1435 0.3137 0.0000 x8  6 F 1.99-2.17
F 0.0000 0.5000 0.0000 x4  2 Sn 2.23, 2 F 2.35
F 0.1052 0.1852 0.1298 x16  1 Sn 2.00
F 0.1198 0.2909 0.5000 x8  2 Sn 2.11-2.17, 1 F 2.35
F 0.2459 0.0804 0.3747 x16  1 Sn 1.99

---

Record 22
Below is crystalline GaHPd3 at its relaxed geometry, with properties calculated at the PBE level.

- Calculated total energy: -24.156 eV for the cell shown
- Energy above the most stable polymorph in this dataset: 8 meV per atom
- Spin magnetization: 0.0 μB per formula unit

Cell lengths 3.9815, 3.9815, 3.9815 Å; angles 90.00, 90.00, 90.00 degrees
Closest atoms and distances in Å follow each position.
Space group Pm-3m (No. 221)
Asymmetric unit:
Ga 0.0000 0.0000 0.0000 x1  12 Pd 2.82
H 0.5000 0.5000 0.5000 x1  6 Pd 1.99
Pd 0.0000 0.5000 0.5000 x3  2 H 1.99